Ac2Sm3PuTe6: optimized geometry, PBE-GGA.

Cell lengths 4.5149, 9.1434, 10.1717 Å; angles 103.41, 102.82, 90.00 degrees
Last column: magnetic moment on the atom in μB.
Fractional positions:
1 Te 0.3354 0.9291 0.6707  -0.01
2 Te 0.9937 0.2462 0.9875  -0.03
3 Ac 0.8353 0.6678 0.6706  0.01
4 Te 0.6630 0.5956 0.3261  0.00
5 Te 0.0063 0.7538 0.0125  -0.03
6 Sm 0.8296 0.1618 0.6592  0.00
7 Te 0.3370 0.4044 0.6739  0.00
8 Te 0.6646 0.0709 0.3293  -0.01
9 Sm 0.5000 0.5000 0.0000  0.00
10 Pu 0.5000 0.0000 0.0000  5.62
11 Sm 0.1704 0.8382 0.3408  0.00
12 Ac 0.1647 0.3322 0.3294  0.01

Output
Space-group type: C2/m (12)
DOS(E_F) (states/eV/f.u.): 14.749
Crystal system: monoclinic
E_form (uncorrected) (eV/atom): -1.370

=====

Ac2SmPu3Te6: optimized geometry, PBE-GGA.

Cell lengths 4.5258, 9.1199, 10.1729 Å; angles 103.45, 102.85, 90.00 degrees
Last column: magnetic moment on the atom in μB.
Fractional positions:
1 Te 0.6630 0.5945 0.3260  -0.05
2 Te 0.0064 0.7529 0.0128  -0.04
3 Te 0.3344 0.9316 0.6688  -0.04
4 Pu 0.5000 0.5000 0.0000  5.60
5 Sm 0.5000 0.0000 0.0000  0.03
6 Te 0.6656 0.0684 0.3312  -0.04
7 Pu 0.1693 0.8350 0.3386  5.56
8 Te 0.9936 0.2471 0.9872  -0.04
9 Ac 0.8355 0.6697 0.6710  0.03
10 Te 0.3370 0.4055 0.6740  -0.05
11 Pu 0.8307 0.1650 0.6614  5.56
12 Ac 0.1645 0.3303 0.3290  0.03

Output
Space-group type: C2/m (12)
DOS(E_F) (states/eV/f.u.): 33.071
Crystal system: monoclinic
E_form (uncorrected) (eV/atom): -1.272

=====

Ac2SmPuTe5: optimized geometry, PBE-GGA.

Cell lengths 5.5992, 5.5992, 11.9146 Å; angles 90.00, 90.00, 90.00 degrees
Last column: magnetic moment on the atom in μB.
Fractional positions:
1 Te 0.0000 0.0000 0.2473  -0.03
2 Pu 0.0000 0.0000 0.0000  5.72
3 Te 0.0000 0.0000 0.7527  -0.03
4 Sm 0.0000 0.0000 0.5000  0.05
5 Ac 0.5000 0.5000 0.7033  0.07
6 Te 0.0000 0.5000 0.5000  0.00
7 Ac 0.5000 0.5000 0.2967  0.07
8 Te 0.5000 0.5000 0.0000  -0.04
9 Te 0.5000 0.0000 0.5000  0.00

Output
Space-group type: P4/mmm (123)
DOS(E_F) (states/eV/f.u.): 21.480
Crystal system: tetragonal
E_form (uncorrected) (eV/atom): -0.902